1.
An optimized crystal structure of TlTcBr2. Source: Alexandria, functional PBEsol.

Calculated values
The crystal system is trigonal. Its space group is R-3m. For the raw formation energy, the calculation gives 0.341 eV/atom.

a b c (Å): 10.430 10.430 10.430
angles (deg): 17.60 17.60 17.60
Atoms (fractional coordinates):
Tl (0.000, 0.000, 0.000)
Tc (0.500, 0.500, 0.500)
Br (0.424, 0.424, 0.424)
Br (0.576, 0.576, 0.576)

=====

2.
An optimized crystal structure of La2HgP. Source: Alexandria, functional PBEsol.

Calculated values
The crystal system is orthorhombic. Its space group is Pmmm. The formation energy comes out at -0.840 eV/atom.

a b c (Å): 3.865 5.100 5.111
angles (deg): 90.00 90.00 90.00
Atoms (fractional coordinates):
La (0.000, 0.000, 0.000)
La (0.000, 0.500, 0.500)
Hg (0.500, 0.000, 0.500)
P (0.500, 0.500, 0.000)

=====

3.
An optimized crystal structure of Na2Te2Pt. Source: Alexandria, functional PBEsol.

Calculated values
The crystal system is tetragonal. Its space group is P4/mbm. For the raw formation energy, the calculation gives -0.493 eV/atom.

a b c (Å): 7.208 7.208 4.892
angles (deg): 90.00 90.00 90.00
Atoms (fractional coordinates):
Na (0.158, 0.342, 0.000)
Na (0.342, 0.842, 0.000)
Na (0.658, 0.158, 0.000)
Na (0.842, 0.658, 0.000)
Te (0.164, 0.664, 0.500)
Te (0.336, 0.164, 0.500)
Te (0.664, 0.836, 0.500)
Te (0.836, 0.336, 0.500)
Pt (0.000, 0.000, 0.500)
Pt (0.500, 0.500, 0.500)

=====

4.
An optimized crystal structure of Sr3Al2Ge4. Source: Alexandria, functional PBEsol.

Calculated values
The crystal system is monoclinic. Its space group is C2/m. The formation energy comes out at -0.539 eV/atom.

a b c (Å): 6.564 6.564 8.801
angles (deg): 108.91 108.91 37.10
Atoms (fractional coordinates):
Sr (0.000, 0.000, 0.000)
Sr (0.394, 0.394, 0.313)
Sr (0.606, 0.606, 0.687)
Al (0.295, 0.295, 0.649)
Al (0.705, 0.705, 0.351)
Ge (0.105, 0.105, 0.392)
Ge (0.288, 0.288, 0.943)
Ge (0.712, 0.712, 0.057)
Ge (0.895, 0.895, 0.608)

=====

5.
An optimized crystal structure of TlAsPBr2. Source: Alexandria, functional PBEsol.

Calculated values
The crystal system is tetragonal. Its space group is P4/mmm. For the raw formation energy, the calculation gives 0.886 eV/atom.

a b c (Å): 5.425 5.425 5.531
angles (deg): 90.00 90.00 90.00
Atoms (fractional coordinates):
Tl (0.000, 0.000, 0.000)
As (0.000, 0.000, 0.500)
P (0.500, 0.500, 0.500)
Br (0.000, 0.500, 0.000)
Br (0.500, 0.000, 0.000)

=====

6.
An optimized crystal structure of YAg3Br. Source: Alexandria, functional PBEsol.

Calculated values
The crystal system is cubic. Its space group is Pm-3m. For the raw formation energy, the calculation gives 0.653 eV/atom.

a b c (Å): 5.051 5.051 5.051
angles (deg): 90.00 90.00 90.00
Atoms (fractional coordinates):
Y (0.000, 0.000, 0.000)
Ag (0.000, 0.500, 0.500)
Ag (0.500, 0.000, 0.500)
Ag (0.500, 0.500, 0.000)
Br (0.500, 0.500, 0.500)

=====

7.
An optimized crystal structure of Ca2ZnAu. Source: Alexandria, functional PBEsol.

Calculated values
The crystal system is tetragonal. Its space group is P4/mmm. The formation energy comes out at -0.473 eV/atom.

a b c (Å): 5.011 5.011 3.653
angles (deg): 90.00 90.00 90.00
Atoms (fractional coordinates):
Ca (0.000, 0.500, 0.000)
Ca (0.500, 0.000, 0.000)
Zn (0.000, 0.000, 0.500)
Au (0.500, 0.500, 0.500)

=====

8.
An optimized crystal structure of Ti6O. Source: Alexandria, functional PBEsol.

Calculated values
The crystal system is trigonal. Its space group is P-31c. For the raw formation energy, the calculation gives -0.848 eV/atom.

a b c (Å): 5.052 5.052 9.373
angles (deg): 90.00 90.00 120.00
Atoms (fractional coordinates):
Ti (0.004, 0.336, 0.119)
Ti (0.004, 0.668, 0.381)
Ti (0.332, 0.336, 0.381)
Ti (0.332, 0.996, 0.119)
Ti (0.336, 0.004, 0.619)
Ti (0.336, 0.332, 0.881)
Ti (0.664, 0.668, 0.119)
Ti (0.664, 0.996, 0.381)
Ti (0.668, 0.004, 0.881)
Ti (0.668, 0.664, 0.619)
Ti (0.996, 0.332, 0.619)
Ti (0.996, 0.664, 0.881)
O (0.333, 0.667, 0.250)
O (0.667, 0.333, 0.750)

=====

9.
An optimized crystal structure of TcGeAs2Se. Source: Alexandria, functional PBEsol.

Calculated values
The crystal system is tetragonal. Its space group is P4/mmm. For the raw formation energy, the calculation gives 0.545 eV/atom.

a b c (Å): 4.616 4.616 5.239
angles (deg): 90.00 90.00 90.00
Atoms (fractional coordinates):
Tc (0.000, 0.000, 0.000)
Ge (0.500, 0.500, 0.500)
As (0.000, 0.500, 0.000)
As (0.500, 0.000, 0.000)
Se (0.000, 0.000, 0.500)

=====

10.
An optimized crystal structure of CaFeCu2. Source: Alexandria, functional PBEsol.

Calculated values
The crystal system is orthorhombic. Its space group is Imm2. The formation energy comes out at 0.412 eV/atom.

a b c (Å): 5.274 5.274 5.274
angles (deg): 147.24 129.29 61.70
Atoms (fractional coordinates):
Ca (0.000, 0.000, 0.000)
Fe (0.719, 0.219, 0.500)
Cu (0.276, 0.776, 0.500)
Cu (0.494, 0.494, 0.000)

=====

11.
An optimized crystal structure of LiSbCl. Source: Alexandria, functional PBEsol.

Calculated values
The crystal system is cubic. Its space group is F-43m. For the raw formation energy, the calculation gives -0.036 eV/atom.

a b c (Å): 4.609 4.609 4.609
angles (deg): 60.00 60.00 60.00
Atoms (fractional coordinates):
Li (0.000, 0.000, 0.000)
Sb (0.250, 0.250, 0.250)
Cl (0.750, 0.750, 0.750)

=====

12.
An optimized crystal structure of TlNiW2. Source: Alexandria, functional PBEsol.

Calculated values
The crystal system is trigonal. Its space group is R3m. The formation energy comes out at 0.602 eV/atom.

a b c (Å): 9.267 9.267 9.267
angles (deg): 17.72 17.72 17.72
Atoms (fractional coordinates):
Tl (0.000, 0.000, 0.000)
Ni (0.252, 0.252, 0.252)
W (0.514, 0.514, 0.514)
W (0.760, 0.760, 0.760)

=====

13.
An optimized crystal structure of MnTcNiMo2. Source: Alexandria, functional PBEsol.

Calculated values
The crystal system is tetragonal. Its space group is P4/mmm. The formation energy comes out at 1.335 eV/atom.

a b c (Å): 4.324 4.324 4.291
angles (deg): 90.00 90.00 90.00
Atoms (fractional coordinates):
Mn (0.000, 0.000, 0.000)
Tc (0.000, 0.000, 0.500)
Ni (0.500, 0.500, 0.500)
Mo (0.000, 0.500, 0.000)
Mo (0.500, 0.000, 0.000)

=====

14.
An optimized crystal structure of Bi2TeH. Source: Alexandria, functional PBEsol.

Calculated values
The crystal system is tetragonal. Its space group is I-42d.

a b c (Å): 6.277 6.277 6.277
angles (deg): 104.97 104.97 118.91
Atoms (fractional coordinates):
Bi (0.037, 0.125, 0.412)
Bi (0.375, 0.963, 0.088)
Bi (0.713, 0.625, 0.588)
Bi (0.875, 0.287, 0.912)
Te (0.250, 0.750, 0.500)
Te (0.500, 0.500, 0.000)
H (0.000, 0.000, 0.000)
H (0.750, 0.250, 0.500)

=====

15.
An optimized crystal structure of PRhAuO2. Source: Alexandria, functional PBEsol.

Calculated values
The crystal system is tetragonal. Its space group is P4/mmm. For the raw formation energy, the calculation gives 0.867 eV/atom.

a b c (Å): 3.754 3.754 5.296
angles (deg): 90.00 90.00 90.00
Atoms (fractional coordinates):
P (0.000, 0.000, 0.000)
Rh (0.500, 0.500, 0.000)
Au (0.000, 0.000, 0.500)
O (0.000, 0.500, 0.500)
O (0.500, 0.000, 0.500)

=====

16.
An optimized crystal structure of CeIr3. Source: Alexandria, functional PBEsol.

Calculated values
The crystal system is trigonal. Its space group is R-3m. The formation energy comes out at -0.555 eV/atom.

a b c (Å): 9.248 9.248 9.248
angles (deg): 33.05 33.05 33.05
Atoms (fractional coordinates):
Ce (0.000, 0.000, 0.000)
Ce (0.139, 0.139, 0.139)
Ce (0.861, 0.861, 0.861)
Ir (0.081, 0.583, 0.583)
Ir (0.333, 0.333, 0.333)
Ir (0.417, 0.417, 0.919)
Ir (0.417, 0.919, 0.417)
Ir (0.500, 0.500, 0.500)
Ir (0.583, 0.081, 0.583)
Ir (0.583, 0.583, 0.081)
Ir (0.667, 0.667, 0.667)
Ir (0.919, 0.417, 0.417)

=====

17.
An optimized crystal structure of YZr2Te. Source: Alexandria, functional PBEsol.

Calculated values
The crystal system is tetragonal. Its space group is P4mm. For the raw formation energy, the calculation gives -0.454 eV/atom.

a b c (Å): 3.738 3.738 6.730
angles (deg): 90.00 90.00 90.00
Atoms (fractional coordinates):
Y (0.000, 0.000, 0.000)
Zr (0.000, 0.000, 0.518)
Zr (0.500, 0.500, 0.272)
Te (0.500, 0.500, 0.739)

=====

18.
An optimized crystal structure of TlIn2Sb. Source: Alexandria, functional PBEsol.

Calculated values
The crystal system is orthorhombic. Its space group is Pmm2. For the raw formation energy, the calculation gives 0.020 eV/atom.

a b c (Å): 3.521 4.180 7.323
angles (deg): 90.00 90.00 90.00
Atoms (fractional coordinates):
Tl (0.000, 0.000, 0.000)
In (0.000, 0.000, 0.507)
In (0.500, 0.500, 0.268)
Sb (0.500, 0.500, 0.726)

=====

19.
An optimized crystal structure of TiCdH3. Source: Alexandria, functional PBEsol.

Calculated values
The crystal system is cubic. Its space group is Pm-3m.

a b c (Å): 3.601 3.601 3.601
angles (deg): 90.00 90.00 90.00
Atoms (fractional coordinates):
Ti (0.000, 0.000, 0.000)
Cd (0.500, 0.500, 0.500)
H (0.000, 0.000, 0.500)
H (0.000, 0.500, 0.000)
H (0.500, 0.000, 0.000)

=====

20.
An optimized crystal structure of SbPOs2. Source: Alexandria, functional PBEsol.

Calculated values
The crystal system is orthorhombic. Its space group is Pmm2. For the raw formation energy, the calculation gives 0.244 eV/atom.

a b c (Å): 2.958 3.781 5.657
angles (deg): 90.00 90.00 90.00
Atoms (fractional coordinates):
Sb (0.000, 0.000, 0.000)
P (0.500, 0.500, 0.620)
Os (0.000, 0.000, 0.524)
Os (0.500, 0.500, 0.215)

=====

In the order shown, the computed size of the total moment values come out to 0.001 0.000 0.000 0.000 0.902 0.000 0.000 0.000 0.001 2.456 0.001 0.002 0.000 0.000 0.304 0.000 0.003 0.000 0.001 0.000 μB per formula unit.
In the order shown, the computed density of states at the Fermi level values come out to 2.46 2.74 0.56 0.57 3.72 3.25 2.74 4.09 4.72 3.90 2.78 4.35 5.78 1.94 6.42 3.98 6.22 1.96 1.89 3.28 states/eV/f.u..
In the order shown, the computed raw total energy values come out to -4.07 -5.10 -3.86 -4.26 -2.57 -3.07 -2.92 -8.73 -5.51 -4.53 -2.88 -8.50 -8.81 -3.63 -4.80 -9.57 -7.59 -3.27 -3.89 -8.45 eV/atom.